[1]
# ScNi2Ru, optimized geometry, DFT PBE
data_ScNi2Ru
_cell_length_a 3.679
_cell_length_b 3.679
_cell_length_c 17.712
_cell_angle_alpha 90.00
_cell_angle_beta 90.00
_cell_angle_gamma 90.00
_space_group_name_H-M_alt 'I -4 2 d'
_space_group_IT_number 122
_space_group_name_Hall 'I -4 2bw'
loop_
_atom_site_label
_atom_site_type_symbol
_atom_site_fract_x
_atom_site_fract_y
_atom_site_fract_z
Sc1 Sc 0.000 0.000 0.000
Ni1 Ni 0.228 0.250 0.625
Ru1 Ru 0.000 0.000 0.500
# * calculated formation energy: 0.1885 eV/atom

***

[2]
# Cs3PPd4, optimized geometry, DFT PBE
data_Cs3PPd4
_cell_length_a 12.298
_cell_length_b 11.945
_cell_length_c 7.036
_cell_angle_alpha 90.00
_cell_angle_beta 90.00
_cell_angle_gamma 90.00
_space_group_name_H-M_alt 'P n m a'
_space_group_IT_number 62
loop_
_space_group_symop_operation_xyz
'x,y,z'
'-x,-y,-z'
'-x+1/2,-y,z+1/2'
'x+1/2,y,-z+1/2'
'x+1/2,-y+1/2,-z+1/2'
'-x+1/2,y+1/2,z+1/2'
'-x,y+1/2,-z'
'x,-y+1/2,z'
loop_
_atom_site_label
_atom_site_type_symbol
_atom_site_fract_x
_atom_site_fract_y
_atom_site_fract_z
Cs1 Cs 0.100 0.250 0.222
Cs2 Cs 0.159 0.532 0.598
P1 P 0.134 0.750 0.069
Pd1 Pd 0.001 0.750 0.304
Pd2 Pd 0.064 0.572 0.086
Pd3 Pd 0.214 0.250 0.742
# * calculated formation energy: -0.1238 eV/atom

***

[3]
# LiAcGe, optimized geometry, DFT PBE
data_LiAcGe
_cell_length_a 8.312
_cell_length_b 11.570
_cell_length_c 13.425
_cell_angle_alpha 90.00
_cell_angle_beta 90.00
_cell_angle_gamma 90.00
_space_group_name_H-M_alt 'F d d d'
_space_group_IT_number 70
loop_
_space_group_symop_operation_xyz
'x,y,z'
'-x,-y,-z'
'-x+1/4,-y+1/4,z'
'x+1/4,y+1/4,-z'
'x,-y+1/4,-z+1/4'
'-x,y+1/4,z+1/4'
'-x+1/4,y,-z+1/4'
'x+1/4,-y,z+1/4'
'x,y+1/2,z+1/2'
'-x,-y+1/2,-z+1/2'
'-x+1/4,-y+3/4,z+1/2'
'x+1/4,y+3/4,-z+1/2'
'x,-y+3/4,-z+3/4'
'-x,y+3/4,z+3/4'
'-x+1/4,y+1/2,-z+3/4'
'x+1/4,-y+1/2,z+3/4'
'x+1/2,y,z+1/2'
'-x+1/2,-y,-z+1/2'
'-x+3/4,-y+1/4,z+1/2'
'x+3/4,y+1/4,-z+1/2'
'x+1/2,-y+1/4,-z+3/4'
'-x+1/2,y+1/4,z+3/4'
'-x+3/4,y,-z+3/4'
'x+3/4,-y,z+3/4'
'x+1/2,y+1/2,z'
'-x+1/2,-y+1/2,-z'
'-x+3/4,-y+3/4,z'
'x+3/4,y+3/4,-z'
'x+1/2,-y+3/4,-z+1/4'
'-x+1/2,y+3/4,z+1/4'
'-x+3/4,y+1/2,-z+1/4'
'x+3/4,-y+1/2,z+1/4'
loop_
_atom_site_label
_atom_site_type_symbol
_atom_site_fract_x
_atom_site_fract_y
_atom_site_fract_z
Li1 Li 0.125 0.007 0.125
Ac1 Ac 0.000 0.000 0.500
Ge1 Ge 0.125 0.125 0.298
# * calculated formation energy: -0.2853 eV/atom

***

[4]
# FeHg2Ir, optimized geometry, DFT PBE
data_FeHg2Ir
_cell_length_a 2.9652
_cell_length_b 2.9652
_cell_length_c 27.2634
_cell_angle_alpha 90.00
_cell_angle_beta 90.00
_cell_angle_gamma 120.00
_space_group_name_H-M_alt 'R -3 m'
_space_group_IT_number 166
_space_group_name_Hall '-R 3 2"'
loop_
_atom_site_label
_atom_site_type_symbol
_atom_site_fract_x
_atom_site_fract_y
_atom_site_fract_z
Fe1 Fe 0.0000 0.0000 0.0000
Hg1 Hg 0.0000 0.0000 0.2518
Ir1 Ir 0.0000 0.0000 0.5000
# * calculated formation energy: 0.5393 eV/atom

***

[5]
# CdBi2HS, optimized geometry, DFT PBE
data_CdBi2HS
_cell_length_a 5.267
_cell_length_b 5.267
_cell_length_c 3.891
_cell_angle_alpha 90.00
_cell_angle_beta 90.00
_cell_angle_gamma 90.00
_space_group_name_H-M_alt 'P 4/m m m'
_space_group_IT_number 123
_space_group_name_Hall '-P 4 2'
loop_
_atom_site_label
_atom_site_type_symbol
_atom_site_fract_x
_atom_site_fract_y
_atom_site_fract_z
Cd1 Cd 0.000 0.000 0.000
Bi1 Bi 0.000 0.500 0.500
H1 H 0.000 0.000 0.500
S1 S 0.500 0.500 0.000
# * E: -14.20 eV/cell

***

[6]
# K2Cd2F, optimized geometry, DFT PBE
data_K2Cd2F
_cell_length_a 7.084
_cell_length_b 7.084
_cell_length_c 6.835
_cell_angle_alpha 90.00
_cell_angle_beta 90.00
_cell_angle_gamma 90.00
_space_group_name_H-M_alt 'P 4/m b m'
_space_group_IT_number 127
_space_group_name_Hall '-P 4 2ab'
loop_
_atom_site_label
_atom_site_type_symbol
_atom_site_fract_x
_atom_site_fract_y
_atom_site_fract_z
K1 K 0.202 0.298 0.000
Cd1 Cd 0.154 0.654 0.500
F1 F 0.000 0.000 0.000
# * E_form (uncorrected): -0.878 eV per atom

***

[7]
# CeTiInHg, optimized geometry, DFT PBE
data_CeTiInHg
_cell_length_a 7.292
_cell_length_b 7.292
_cell_length_c 7.292
_cell_angle_alpha 90.00
_cell_angle_beta 90.00
_cell_angle_gamma 90.00
_space_group_name_H-M_alt 'F -4 3 m'
_space_group_IT_number 216
_space_group_name_Hall 'F -4 2 3'
loop_
_atom_site_label
_atom_site_type_symbol
_atom_site_fract_x
_atom_site_fract_y
_atom_site_fract_z
Ce1 Ce 0.000 0.000 0.000
Ti1 Ti 0.000 0.000 0.500
In1 In 0.250 0.250 0.250
Hg1 Hg 0.250 0.250 0.750
# * calculated formation energy: -0.1250 eV/atom

***

[8]
# Li2La2ZnPt5, optimized geometry, DFT PBE
data_Li2La2ZnPt5
_cell_length_a 9.520
_cell_length_b 9.520
_cell_length_c 3.865
_cell_angle_alpha 90.00
_cell_angle_beta 90.00
_cell_angle_gamma 90.00
_space_group_name_H-M_alt 'P 4/m b m'
_space_group_IT_number 127
_space_group_name_Hall '-P 4 2ab'
loop_
_atom_site_label
_atom_site_type_symbol
_atom_site_fract_x
_atom_site_fract_y
_atom_site_fract_z
Li1 Li 0.118 0.382 0.000
La1 La 0.182 0.682 0.000
Zn1 Zn 0.000 0.000 0.000
Pt1 Pt 0.000 0.500 0.500
Pt2 Pt 0.062 0.207 0.500
# * calculated formation energy: -0.8131 eV/atom

***

[9]
# Sm5Zn4Au, optimized geometry, DFT PBE
data_Sm5Zn4Au
_cell_length_a 3.661
_cell_length_b 3.661
_cell_length_c 18.103
_cell_angle_alpha 90.00
_cell_angle_beta 90.00
_cell_angle_gamma 90.00
_space_group_name_H-M_alt 'P 4/m m m'
_space_group_IT_number 123
_space_group_name_Hall '-P 4 2'
loop_
_atom_site_label
_atom_site_type_symbol
_atom_site_fract_x
_atom_site_fract_y
_atom_site_fract_z
Sm1 Sm 0.000 0.000 0.000
Sm2 Sm 0.000 0.000 0.200
Sm3 Sm 0.000 0.000 0.399
Zn1 Zn 0.500 0.500 0.100
Zn2 Zn 0.500 0.500 0.296
Au1 Au 0.500 0.500 0.500
# * calculated formation energy: -0.4178 eV/atom